Entry 1:
## KCrHgTe3 (PBE-GGA)

Data for KCrHgTe3 after structural relaxation.

```
12
Lattice="-3.669 -1.380 1.706 4.419 -6.255 4.441 -0.443 8.696 6.083" Properties=species:S:1:pos:R:3 pbc="T T T"
Hg 1.193 -3.448 7.808
Hg -0.885 4.509 4.421
Te -0.784 -2.766 4.110
Te 1.091 3.827 8.120
Te 1.039 -5.428 5.877
Te -1.777 2.208 5.999
Te 2.084 -1.147 6.231
Te -0.732 6.489 6.353
Cr 1.955 -3.290 4.220
Cr -1.648 4.351 8.009
K -0.048 0.587 3.048
K 0.356 0.474 9.182
```

## Properties
symmetry	No. 11
total energy	-3.78	eV per atom



Entry 2:
## LaCrHg (PBE-GGA)

Data for LaCrHg after structural relaxation.

```
3
Lattice="4.934 0.000 0.000 -2.467 4.273 0.000 0.000 0.000 3.668" Properties=species:S:1:pos:R:3 pbc="T T T"
La 0.000 2.849 2.445
Hg 2.467 1.424 0.614
Cr 0.000 0.000 0.610
```

## Properties
symmetry	No. 187
formation enthalpy at 0 K	0.069	eV/atom



Entry 3:
## LaCrHg (PBE-GGA)

Data for LaCrHg after structural relaxation.

```
3
Lattice="4.868 0.000 0.000 2.434 4.216 0.000 2.434 1.405 3.975" Properties=species:S:1:pos:R:3 pbc="T T T"
Hg 0.000 0.000 0.000
La 4.868 2.810 1.987
Cr 7.302 4.216 2.981
```

## Properties
symmetry	No. 216
formation enthalpy at 0 K	0.256	eV/atom



Entry 4:
## LaCrHg (PBE-GGA)

Data for LaCrHg after structural relaxation.

```
3
Lattice="-4.973 0.412 1.042 -3.283 -3.434 -1.846 -2.231 -3.338 3.140" Properties=species:S:1:pos:R:3 pbc="T T T"
La -7.865 -4.770 1.752
Cr 0.000 0.000 0.000
Hg -5.243 -3.180 1.168
```

## Properties
symmetry	No. 216
formation enthalpy at 0 K	0.618	eV/atom



Entry 5:
## La3CrHg (PBE-GGA)

Data for La3CrHg after structural relaxation.

```
5
Lattice="5.288 0.000 0.000 0.000 5.288 0.000 0.000 0.000 5.288" Properties=species:S:1:pos:R:3 pbc="T T T"
Hg 2.644 2.644 2.644
La 0.000 2.644 0.000
La 2.644 0.000 0.000
La 0.000 0.000 2.644
Cr 0.000 0.000 0.000
```

## Properties
symmetry	No. 221
formation enthalpy at 0 K	0.114	eV/atom
relative energy among the computed polymorphs	0	meV/atom



Entry 6:
## LaCrHg (PBE-GGA)

Data for LaCrHg after structural relaxation.

```
3
Lattice="5.873 -0.413 0.448 4.905 3.260 0.428 0.969 0.275 3.662" Properties=species:S:1:pos:R:3 pbc="T T T"
Hg 4.450 1.188 2.673
La 7.488 1.984 1.810
Cr 10.586 2.796 0.930
```

## Properties
symmetry	No. 107
formation enthalpy at 0 K	0.153	eV/atom



Entry 7:
## La4CrHg (PBE-GGA)

Data for La4CrHg after structural relaxation.

```
6
Lattice="0.000 4.573 4.573 4.573 0.000 4.573 4.573 4.573 0.000" Properties=species:S:1:pos:R:3 pbc="T T T"
La 3.428 5.718 5.718
La 5.718 3.428 5.718
La 5.718 5.718 3.428
La 3.428 3.428 3.428
Hg 0.000 0.000 0.000
Cr 6.859 6.859 6.859
```

## Properties
symmetry	No. 216
formation enthalpy at 0 K	0.523	eV/atom



Entry 8:
## LaMgCrHg2 (PBE-GGA)

Data for LaMgCrHg2 after structural relaxation.

```
5
Lattice="5.133 0.000 0.000 0.000 5.839 0.000 0.000 0.000 5.133" Properties=species:S:1:pos:R:3 pbc="T T T"
Hg 0.000 0.000 2.566
Hg 2.566 0.000 0.000
Cr 2.566 2.920 2.566
La 0.000 2.920 0.000
Mg 0.000 0.000 0.000
```

## Properties
symmetry	No. 123
formation enthalpy at 0 K	0.680	eV/atom



Entry 9:
## LaCrHg2Mo (PBE-GGA)

Data for LaCrHg2Mo after structural relaxation.

```
5
Lattice="-3.147 -3.502 3.405 4.278 -1.932 1.967 -0.061 4.079 4.138" Properties=species:S:1:pos:R:3 pbc="T T T"
Mo 0.535 -0.678 4.755
La 0.000 0.000 0.000
Hg -0.030 2.039 2.069
Hg -1.574 -1.751 1.703
Cr 2.139 -0.966 0.984
```

## Properties
symmetry	No. 123
formation enthalpy at 0 K	1.748	eV/atom



Entry 10:
## La2CrHgN (PBE-GGA)

Data for La2CrHgN after structural relaxation.

```
5
Lattice="-1.889 -2.092 -4.617 4.630 1.294 -2.481 1.461 -3.411 0.948" Properties=species:S:1:pos:R:3 pbc="T T T"
Cr 0.730 -1.706 0.474
La -0.945 -1.046 -2.309
La 2.315 0.647 -1.240
Hg 2.101 -2.105 -3.075
N 0.000 0.000 0.000
```

## Properties
symmetry	No. 123
total energy	-6.24	eV per atom



Entry 11:
## NaLaCrHg2 (PBE-GGA)

Data for NaLaCrHg2 after structural relaxation.

```
5
Lattice="-1.931 -4.499 1.782 4.753 -1.728 0.786 -0.089 1.952 4.830" Properties=species:S:1:pos:R:3 pbc="T T T"
Cr 2.377 -0.864 0.393
Na 0.000 0.000 0.000
Hg -0.965 -2.250 0.891
Hg -0.044 0.976 2.415
La 1.367 -2.138 3.699
```

## Properties
symmetry	No. 123
formation enthalpy at 0 K	0.480	eV/atom



Entry 12:
## SrLaCr2Hg (PBE-GGA)

Data for SrLaCr2Hg after structural relaxation.

```
5
Lattice="5.412 0.000 0.000 0.000 5.412 0.000 0.000 0.000 5.761" Properties=species:S:1:pos:R:3 pbc="T T T"
Hg 0.000 0.000 0.000
Sr 2.706 2.706 2.881
Cr 2.706 0.000 0.000
Cr 0.000 2.706 0.000
La 0.000 0.000 2.881
```

## Properties
symmetry	No. 123
formation enthalpy at 0 K	0.760	eV/atom



Entry 13:
## LaCrHgTe2 (PBE-GGA)

Data for LaCrHgTe2 after structural relaxation.

```
5
Lattice="6.091 0.000 0.000 0.000 6.592 0.000 0.000 0.000 6.091" Properties=species:S:1:pos:R:3 pbc="T T T"
Cr 0.000 3.296 0.000
Te 3.045 0.000 0.000
Te 0.000 0.000 3.045
La 0.000 0.000 0.000
Hg 3.045 3.296 3.045
```

## Properties
symmetry	No. 123
relative energy among the computed polymorphs	512	meV/atom



Entry 14:
## LaCrHgTe2 (PBE-GGA)

Data for LaCrHgTe2 after structural relaxation.

```
5
Lattice="-0.866 0.832 5.044 4.213 -2.720 1.172 2.853 4.324 -0.224" Properties=species:S:1:pos:R:3 pbc="T T T"
La 2.107 -1.360 0.586
Te -0.433 0.416 2.522
Te 1.427 2.162 -0.112
Cr 0.000 0.000 0.000
Hg 3.100 1.218 2.996
```

## Properties
symmetry	No. 123
relative energy among the computed polymorphs	0	meV/atom



Entry 15:
## LiCr2Hg (PBE-GGA)

Data for LiCr2Hg after structural relaxation.

```
4
Lattice="-0.302 1.923 4.065 -3.628 -0.727 2.573 0.344 -2.524 3.718" Properties=species:S:1:pos:R:3 pbc="T T T"
Cr -0.897 -0.332 2.589
Cr 0.000 0.000 0.000
Li -2.690 -0.996 7.768
Hg -1.793 -0.664 5.178
```

## Properties
symmetry	No. 216
formation enthalpy at 0 K	0.313	eV/atom



Entry 16:
## LiCr2Hg (PBE-GGA)

Data for LiCr2Hg after structural relaxation.

```
4
Lattice="3.084 0.000 0.000 0.000 3.084 0.000 0.000 0.000 6.543" Properties=species:S:1:pos:R:3 pbc="T T T"
Hg 0.000 0.000 3.331
Li 1.542 1.542 4.975
Cr 0.000 0.000 0.201
Cr 1.542 1.542 1.308
```

## Properties
symmetry	No. 99
formation enthalpy at 0 K	0.225	eV/atom



Entry 17:
## LiCr2Hg (PBE-GGA)

Data for LiCr2Hg after structural relaxation.

```
4
Lattice="-1.467 -2.111 0.460 0.030 -0.074 -2.610 7.384 -5.082 0.228" Properties=species:S:1:pos:R:3 pbc="T T T"
Li 4.819 -4.904 -0.904
Cr 7.331 -5.046 0.227
Cr 3.745 -2.578 0.116
Hg 1.127 -2.363 -1.018
```

## Properties
symmetry	No. 65
formation enthalpy at 0 K	0.877	eV/atom



Entry 18:
## LiCr2Hg (PBE-GGA)

Data for LiCr2Hg after structural relaxation.

```
4
Lattice="5.138 -0.003 -0.014 2.782 4.319 0.014 -3.826 -2.404 2.445" Properties=species:S:1:pos:R:3 pbc="T T T"
Cr 3.946 2.151 0.000
Cr 0.014 0.007 0.000
Hg 2.636 -0.125 1.215
Li 1.458 2.036 1.230
```

## Properties
symmetry	No. 71
formation enthalpy at 0 K	0.434	eV/atom



Entry 19:
## Li2CrHg (PBE-GGA)

Data for Li2CrHg after structural relaxation.

```
4
Lattice="-2.755 -0.379 2.954 1.132 -3.824 0.565 2.919 1.291 2.888" Properties=species:S:1:pos:R:3 pbc="T T T"
Hg 2.026 -1.267 1.726
Li 0.000 0.000 0.000
Li -0.812 -2.102 1.760
Cr 0.082 0.456 2.921
```

## Properties
symmetry	No. 47
formation enthalpy at 0 K	0.129	eV/atom



Entry 20:
## LiCr2Hg (PBE-GGA)

Data for LiCr2Hg after structural relaxation.

```
4
Lattice="2.650 0.000 0.000 0.000 2.650 0.000 0.000 0.000 8.376" Properties=species:S:1:pos:R:3 pbc="T T T"
Cr 0.000 0.000 8.242
Cr 0.000 0.000 4.322
Li 1.325 1.325 6.282
Hg 1.325 1.325 2.094
```

## Properties
symmetry	No. 123
formation enthalpy at 0 K	0.886	eV/atom



Entry 21:
## LiCr2Hg (PBE-GGA)

Data for LiCr2Hg after structural relaxation.

```
4
Lattice="4.844 -0.094 -0.080 3.848 2.944 -0.080 1.648 0.541 4.376" Properties=species:S:1:pos:R:3 pbc="T T T"
Cr 1.658 0.544 4.158
Cr 7.690 2.522 3.414
Li 2.660 0.872 1.207
Hg 5.150 1.689 1.918
```

## Properties
symmetry	No. 8
formation enthalpy at 0 K	0.347	eV/atom



Entry 22:
## Li2CrHg (PBE-GGA)

Data for Li2CrHg after structural relaxation.

```
4
Lattice="9.646 -0.151 -0.089 9.200 2.904 -0.089 9.200 1.344 2.576" Properties=species:S:1:pos:R:3 pbc="T T T"
Li 6.940 1.014 0.594
Li 0.091 0.013 0.008
Cr 14.031 2.050 1.200
Hg 21.006 3.068 1.797
```

## Properties
symmetry	No. 160
formation enthalpy at 0 K	0.298	eV/atom



Entry 23:
## Li2CrHg (PBE-GGA)

Data for Li2CrHg after structural relaxation.

```
4
Lattice="-3.058 2.417 -3.101 1.391 -5.081 -1.560 -2.469 -1.664 0.682" Properties=species:S:1:pos:R:3 pbc="T T T"
Hg -0.834 -1.332 -2.330
Li -2.764 0.376 -1.210
Li 0.000 0.000 0.000
Cr -0.539 -3.373 -0.439
```

## Properties
symmetry	No. 12
formation enthalpy at 0 K	0.190	eV/atom



Entry 24:
## LiCr2Hg (PBE-GGA)

Data for LiCr2Hg after structural relaxation.

```
4
Lattice="5.300 -0.020 0.038 -3.107 4.294 0.038 0.397 0.774 2.522" Properties=species:S:1:pos:R:3 pbc="T T T"
Cr 1.096 2.137 0.038
Cr 0.000 0.000 0.000
Li -1.355 2.534 1.280
Hg 2.849 0.377 1.280
```

## Properties
symmetry	No. 12
formation enthalpy at 0 K	0.588	eV/atom



Entry 25:
## Li2CrHg (PBE-GGA)

Data for Li2CrHg after structural relaxation.

```
4
Lattice="5.029 0.009 -0.047 3.366 3.736 -0.047 1.706 0.761 3.652" Properties=species:S:1:pos:R:3 pbc="T T T"
Cr 5.049 2.253 1.780
Li 7.574 3.379 2.669
Li 1.707 0.762 3.651
Hg 2.527 1.127 0.889
```

## Properties
symmetry	No. 44
formation enthalpy at 0 K	0.114	eV/atom



Entry 26:
## LiCr2Hg (PBE-GGA)

Data for LiCr2Hg after structural relaxation.

```
4
Lattice="4.607 0.000 0.000 0.000 2.743 -0.001 0.000 1.134 4.649" Properties=species:S:1:pos:R:3 pbc="T T T"
Li 2.303 2.907 3.486
Hg 2.303 0.969 1.162
Cr 0.000 1.198 4.402
Cr 0.000 1.874 2.571
```

## Properties
symmetry	No. 10
formation enthalpy at 0 K	0.509	eV/atom



Entry 27:
## LiCrHg4 (PBE-GGA)

Data for LiCrHg4 after structural relaxation.

```
6
Lattice="0.000 4.127 4.127 4.127 0.000 4.127 4.127 4.127 0.000" Properties=species:S:1:pos:R:3 pbc="T T T"
Li 6.191 6.191 6.191
Hg 3.096 3.096 3.096
Hg 5.159 5.159 3.096
Hg 3.096 5.159 5.159
Hg 5.159 3.096 5.159
Cr 0.000 0.000 0.000
```

## Properties
symmetry	No. 216
formation enthalpy at 0 K	0.301	eV/atom



Entry 28:
## LiCr4Hg (PBE-GGA)

Data for LiCr4Hg after structural relaxation.

```
6
Lattice="0.000 3.456 3.456 3.456 0.000 3.456 3.456 3.456 0.000" Properties=species:S:1:pos:R:3 pbc="T T T"
Cr 2.551 2.551 2.551
Cr 4.361 4.361 2.551
Cr 4.361 2.551 4.361
Cr 2.551 4.361 4.361
Li 0.000 0.000 0.000
Hg 5.184 5.184 5.184
```

## Properties
symmetry	No. 216
formation enthalpy at 0 K	0.526	eV/atom



Entry 29:
## Li2CrHg (PBE-GGA)

Data for Li2CrHg after structural relaxation.

```
4
Lattice="-6.168 -0.484 7.286 -5.477 -3.453 7.031 -3.681 -1.601 8.675" Properties=species:S:1:pos:R:3 pbc="T T T"
Li -7.672 -2.772 11.510
Li -15.317 -5.535 22.978
Cr -3.831 -1.385 5.748
Hg -11.494 -4.154 17.244
```

## Properties
symmetry	No. 166
formation enthalpy at 0 K	0.266	eV/atom



Entry 30:
## Li2CrHg (PBE-GGA)

Data for Li2CrHg after structural relaxation.

```
4
Lattice="4.002 0.000 0.000 0.000 3.043 0.411 0.000 2.130 6.216" Properties=species:S:1:pos:R:3 pbc="T T T"
Li 2.001 1.281 1.650
Li 0.000 2.147 6.196
Cr 0.000 2.572 3.332
Hg 2.001 3.890 4.978
```

## Properties
symmetry	No. 6
formation enthalpy at 0 K	0.177	eV/atom